Compound: ZnIr2Pb
Source: Alexandria via LeMat-Bulk
Functional: PBE-GGA
Structure: optimized geometry

## Properties
The energy above the lowest structure with this stoichiometry comes out at 0.867 eV/f.u. As for the energy of formation from the pure elements: 0.432 eV per atom. Its density of states at the Fermi level is 4.6 states/eV/cell. The value obtained for the density is 15.23 g/cm³. As for the crystal system: trigonal.

Cell lengths 9.277, 9.277, 9.277 Å; angles 18.69, 18.69, 18.69 degrees
Fractional positions:
Zn (0.000, 0.000, 0.000)
Ir (0.480, 0.480, 0.480)
Ir (0.738, 0.738, 0.738)
Pb (0.235, 0.235, 0.235)

---

Compound: Nd4Te3N
Source: Alexandria via LeMat-Bulk
Functional: PBE-GGA
Structure: optimized geometry

## Properties
Its density of states at the Fermi level is 8.1 states/eV/cell. The value obtained for the density is 6.11 g/cm³. The calculation puts the uncorrected formation energy at -1199 meV/atom. As for the crystal system: orthorhombic.

Cell lengths 10.476, 8.200, 6.166 Å; angles 90.00, 90.00, 90.00 degrees
Fractional positions:
Nd (0.000, 0.130, 0.000)
Nd (0.000, 0.855, 0.474)
Nd (0.204, 0.244, 0.461)
Nd (0.296, 0.756, 0.961)
Nd (0.500, 0.145, 0.974)
Nd (0.500, 0.870, 0.500)
Nd (0.704, 0.756, 0.961)
Nd (0.796, 0.244, 0.461)
Te (0.000, 0.749, 0.978)
Te (0.238, 0.354, 0.964)
Te (0.262, 0.646, 0.464)
Te (0.500, 0.251, 0.478)
Te (0.738, 0.646, 0.464)
Te (0.762, 0.354, 0.964)
N (0.000, 0.137, 0.392)
N (0.500, 0.863, 0.892)

---

Compound: PrGa4Ir2Pt
Source: Alexandria via LeMat-Bulk
Functional: PBE-GGA
Structure: optimized geometry

## Properties
As for the energy of formation from the pure elements: -0.563 eV per atom. Its density of states at the Fermi level is 4.1 states/eV/cell. The value obtained for the density is 11.70 g/cm³. As for the crystal system: trigonal.

Cell lengths 9.203, 9.203, 9.203 Å; angles 27.02, 27.02, 27.02 degrees
Fractional positions:
Pr (0.000, 0.000, 0.000)
Ga (0.129, 0.129, 0.129)
Ga (0.400, 0.400, 0.400)
Ga (0.600, 0.600, 0.600)
Ga (0.871, 0.871, 0.871)
Ir (0.231, 0.231, 0.231)
Ir (0.769, 0.769, 0.769)
Pt (0.500, 0.500, 0.500)